(1)
A plane-wave DFT calculation with GGA-PBE was carried out for a geometry-optimized Cs2CoBiCl structure.

- Formation energy (no corrections): 115 kJ/mol of formula units
- Volume: 246 Å³/f.u.

a b c (Å): 6.6576 5.5612 6.6576
angles (deg): 90.00 90.00 90.00
Closest atoms and distances in Å follow each position.
Sites, in units of the cell vectors:
Cs (0.0000, 0.0000, 0.5000)  2 Cl 3.33
Cs (0.5000, 0.0000, 0.0000)  2 Cl 3.33
Co (0.5000, 0.5000, 0.5000)  8 Cs 4.34, 4 Bi 4.71
Bi (0.0000, 0.5000, 0.0000)  2 Cl 2.78
Cl (0.0000, 0.0000, 0.0000)  2 Bi 2.78

(2)
A plane-wave DFT calculation with GGA-PBE was carried out for a geometry-optimized HOs2 structure.

- Volume: 37 Å³/f.u.
- VASP energy: -7.983 eV per atom

a b c (Å): 3.9943 2.7145 7.6052
angles (deg): 90.00 114.84 90.00
Closest atoms and distances in Å follow each position.
Sites, in units of the cell vectors:
H (0.1188, 0.0000, 0.0876)  3 Os 1.90-1.91
H (0.1188, 0.5000, 0.5876)  3 Os 1.90-1.91
Os (0.3181, 0.0000, 0.4857)  2 H 1.90
Os (0.3181, 0.5000, 0.9857)  2 H 1.90
Os (0.7022, 0.0000, 0.8427)  1 H 1.91
Os (0.7022, 0.5000, 0.3427)  1 H 1.91

Question: Which formula does entry 2 have?
Answer: HOs2

Question: The highest volume belongs to which entry?
Answer: Cs2CoBiCl